Compound: CePmHg6
Source: the Alexandria database
Functional: PBE
Structure: relaxed

Crystal system: orthorhombic
Formation enthalpy at 0 K, eV per formula unit: -2.77
D(E_F), states/eV/f.u.: 12.54
Total DFT energy (no corrections), eV/cell: -15.26
SG: Amm2, No. 38

Lattice parameters (Å, degrees): 5.0607 6.8123 6.8123 119.98 90.00 90.00
Last column: magnetic moment on the atom in μB.
Atoms (fractional coordinates):
Hg (0.5000, 0.9151, 0.0849)  0.01
Hg (0.5000, 0.4225, 0.0869)  0.01
Hg (0.5000, 0.9131, 0.5775)  0.01
Hg (0.0000, 0.5876, 0.9238)  0.01
Hg (0.0000, 0.0762, 0.4124)  0.01
Hg (0.0000, 0.5854, 0.4146)  0.01
Ce (0.0000, 0.0842, 0.9158)  0.91
Pm (0.5000, 0.4157, 0.5843)  -0.01